## ScTlAg2 (GGA-PBE)

Data for an optimized crystal structure of ScTlAg2.

Lattice parameters (Å, degrees): 4.831 4.831 4.831 60.00 60.00 60.00
Positions (direct):
Sc1 0.000 0.000 0.000
Tl1 0.250 0.250 0.250
Ag1 0.500 0.500 0.500
Ag2 0.750 0.750 0.750

## Properties
Size of the total moment in μB per atom: 0.00
Electronic total energy in eV per cell: -14.94